No. 1
A plane-wave DFT calculation with PBE-GGA was carried out for a geometry-optimized CaFePb structure.

a b c (Å): 4.799 4.799 4.799
angles (deg): 60.00 60.00 60.00
Fractional coordinates of all 3 atoms:
Ca (0.500, 0.500, 0.500)
Pb (0.000, 0.000, 0.000)
Fe (0.750, 0.750, 0.750)

## Properties
The total magnetization is 3.1 μB per formula unit. The value obtained for the total energy is -13.3 eV for the cell shown.

No. 2
A plane-wave DFT calculation with PBE-GGA was carried out for a geometry-optimized CaFePb2 structure.

a b c (Å): 4.522 4.522 6.421
angles (deg): 69.55 69.55 59.85
Fractional coordinates of all 4 atoms:
Pb (0.524, 0.524, 0.428)
Pb (0.976, 0.976, 0.072)
Ca (0.750, 0.750, 0.750)
Fe (0.250, 0.250, 0.250)

## Properties
The total magnetization is 2.4 μB per formula unit. The value obtained for the total energy is -17.6 eV for the cell shown.

No. 3
A plane-wave DFT calculation with PBE-GGA was carried out for a geometry-optimized Ca2FePb structure.

a b c (Å): 3.575 3.574 8.244
angles (deg): 90.00 90.00 90.00
Fractional coordinates of all 4 atoms:
Ca (0.000, 0.000, 0.475)
Ca (0.000, 0.000, 0.025)
Pb (0.500, 0.500, 0.750)
Fe (0.500, 0.500, 0.250)

## Properties
The total magnetization is 2.5 μB per formula unit. The value obtained for the total energy is -15.9 eV for the cell shown.

No. 4
A plane-wave DFT calculation with PBE-GGA was carried out for a geometry-optimized Ca2FePb structure.

a b c (Å): 5.286 5.286 6.424
angles (deg): 78.05 78.05 39.99
Fractional coordinates of all 4 atoms:
Pb (0.750, 0.750, 0.750)
Fe (0.250, 0.250, 0.250)
Ca (0.992, 0.992, 0.010)
Ca (0.508, 0.508, 0.490)

## Properties
The total magnetization is 2.5 μB per formula unit. The value obtained for the total energy is -15.0 eV for the cell shown.

No. 5
A plane-wave DFT calculation with PBE-GGA was carried out for a geometry-optimized CaFePb3 structure.

a b c (Å): 5.818 5.818 5.818
angles (deg): 90.00 90.00 90.00
Fractional coordinates of all 5 atoms:
Fe (0.500, 0.500, 0.500)
Pb (0.000, 0.500, 0.000)
Pb (0.000, 0.000, 0.500)
Pb (0.500, 0.000, 0.000)
Ca (0.000, 0.000, 0.000)

## Properties
The calculation puts the energy above the lowest structure with this stoichiometry at 1023 meV per atom. The total magnetization is 3.6 μB per formula unit.

No. 6
A plane-wave DFT calculation with PBE-GGA was carried out for a geometry-optimized Ca2FePb structure.

a b c (Å): 5.378 5.379 3.700
angles (deg): 90.00 90.00 90.28
Fractional coordinates of all 4 atoms:
Ca (0.500, 0.500, 0.000)
Ca (0.000, 0.000, 0.000)
Fe (0.500, 0.000, 0.500)
Pb (0.000, 0.500, 0.500)

## Properties
The total magnetization is 2.9 μB per formula unit. The value obtained for the total energy is -15.7 eV for the cell shown.

No. 7
A plane-wave DFT calculation with PBE-GGA was carried out for a geometry-optimized Ca2FePb structure.

a b c (Å): 3.627 3.627 8.420
angles (deg): 90.00 90.00 90.00
Fractional coordinates of all 4 atoms:
Ca (0.000, 0.000, 0.948)
Ca (0.500, 0.500, 0.314)
Fe (0.000, 0.000, 0.549)
Pb (0.500, 0.500, 0.689)

## Properties
The total magnetization is 2.0 μB per formula unit. The value obtained for the total energy is -15.6 eV for the cell shown.

No. 8
A plane-wave DFT calculation with PBE-GGA was carried out for a geometry-optimized CaFePb structure.

a b c (Å): 4.742 4.742 3.736
angles (deg): 90.00 90.00 120.00
Fractional coordinates of all 3 atoms:
Ca (0.000, 0.000, 0.000)
Fe (0.667, 0.333, 0.500)
Pb (0.333, 0.667, 0.500)

## Properties
The total magnetization is 2.8 μB per formula unit. The value obtained for the total energy is -13.7 eV for the cell shown.

No. 9
A plane-wave DFT calculation with PBE-GGA was carried out for a geometry-optimized CaFe4Pb structure.

a b c (Å): 5.127 5.127 5.127
angles (deg): 60.00 60.00 60.00
Fractional coordinates of all 6 atoms:
Fe (0.374, 0.877, 0.374)
Fe (0.877, 0.374, 0.374)
Fe (0.374, 0.374, 0.877)
Fe (0.374, 0.374, 0.374)
Pb (0.750, 0.750, 0.750)
Ca (0.000, 0.000, 0.000)

## Properties
The total magnetization is 8.7 μB per formula unit. The value obtained for the total energy is -38.2 eV for the cell shown.

No. 10
A plane-wave DFT calculation with PBE-GGA was carried out for a geometry-optimized CaFePb3 structure.

a b c (Å): 5.173 5.173 5.173
angles (deg): 90.00 90.00 90.00
Fractional coordinates of all 5 atoms:
Fe (0.000, 0.000, 0.000)
Ca (0.500, 0.500, 0.500)
Pb (0.000, 0.000, 0.500)
Pb (0.500, 0.000, 0.000)
Pb (0.000, 0.500, 0.000)

## Properties
The calculation puts the energy above the lowest structure with this stoichiometry at 0 meV per atom. The total magnetization is 0.0 μB per formula unit.

No. 11
A plane-wave DFT calculation with PBE-GGA was carried out for a geometry-optimized CaFePb2 structure.

a b c (Å): 5.530 5.530 9.109
angles (deg): 72.33 72.33 90.00
Fractional coordinates of all 8 atoms:
Ca (0.250, 0.750, 0.500)
Ca (0.500, 0.500, 0.000)
Fe (0.750, 0.250, 0.500)
Fe (0.000, 0.000, 0.000)
Pb (0.875, 0.004, 0.750)
Pb (0.754, 0.125, 0.250)
Pb (0.996, 0.625, 0.250)
Pb (0.375, 0.246, 0.750)

## Properties
The total magnetization is 0.0 μB per formula unit. The value obtained for the total energy is -31.7 eV for the cell shown.

No. 12
A plane-wave DFT calculation with PBE-GGA was carried out for a geometry-optimized CaFePb2 structure.

a b c (Å): 7.356 7.356 7.356
angles (deg): 152.11 145.39 45.02
Fractional coordinates of all 4 atoms:
Pb (0.758, 0.258, 0.500)
Pb (0.071, 0.071, 0.000)
Ca (0.440, 0.440, 0.000)
Fe (0.230, 0.730, 0.500)

## Properties
The total magnetization is 2.3 μB per formula unit. The value obtained for the total energy is -17.2 eV for the cell shown.